Entry 1:
The following is a DFT calculation (PBE) of PaCdCu5 after structural relaxation.

Geometry as POSCAR:
```
PaCdCu5
1.0
-3.768 -0.211 3.329
-1.210 -7.907 -1.871
6.775 -2.810 7.490
Cu Pa Cd
20 4 4
Direct
0.750 0.413 0.983
0.750 0.816 0.745
0.250 0.184 0.255
0.750 0.913 0.517
0.502 0.932 0.313
0.250 0.684 0.245
0.498 0.068 0.687
0.498 0.568 0.813
0.250 0.442 0.394
0.750 0.316 0.755
0.998 0.932 0.313
0.750 0.058 0.894
0.998 0.432 0.187
0.250 0.942 0.106
0.250 0.587 0.017
0.250 0.087 0.483
0.502 0.432 0.187
0.002 0.568 0.813
0.750 0.558 0.606
0.002 0.068 0.687
0.750 0.751 0.062
0.250 0.749 0.562
0.250 0.249 0.938
0.750 0.251 0.438
0.250 0.864 0.863
0.750 0.136 0.137
0.750 0.636 0.363
0.250 0.364 0.637
```

Output
D(E_F) ... 19.4 states/eV/cell
Uncorrected energy ... -31.291 eV per formula unit
Space-group type ... Pnma (62)

Entry 2:
The following is a DFT calculation (PBE) of Ca3Tl4O9 after structural relaxation.

Geometry as POSCAR:
```
Ca3Tl4O9
1.0
5.901 0.000 0.006
4.923 3.252 0.006
2.650 0.796 12.144
O Ca Tl
9 3 4
Direct
0.195 0.195 0.603
0.506 0.506 0.492
0.873 0.873 0.162
0.812 0.812 0.398
0.121 0.121 0.839
0.623 0.623 0.060
0.361 0.361 0.955
0.908 0.908 0.716
0.099 0.099 0.280
0.454 0.454 0.288
0.758 0.758 0.872
0.550 0.550 0.709
0.853 0.853 0.564
0.236 0.236 0.127
0.154 0.154 0.438
0.997 0.997 0.998
```

Output
Uncorrected formation energy ... -1540 meV per atom
Uncorrected energy ... -84.732 eV per formula unit
Space-group type ... Cm (8)

Entry 3:
The following is a DFT calculation (PBE) of YAlCu after structural relaxation.

Geometry as POSCAR:
```
YAlCu
1.0
-4.320 0.278 4.018
-2.984 -2.661 4.346
1.412 0.950 2.763
Al Y Cu
1 1 1
Direct
0.970 0.970 0.030
0.672 0.672 0.328
0.358 0.358 0.642
```

Output
D(E_F) ... 2.0 states/eV/cell
Uncorrected energy ... -15.060 eV per formula unit
Space-group type ... I4mm (107)

Entry 4:
The following is a DFT calculation (PBE) of Ho4GaTe after structural relaxation.

Geometry as POSCAR:
```
Ho4GaTe
1.0
-3.479 0.286 2.203
-2.851 -6.830 -3.617
7.832 -10.540 13.732
Te Ho Ga
4 16 4
Direct
0.750 0.239 0.688
0.250 0.761 0.312
0.250 0.261 0.188
0.750 0.739 0.812
0.250 0.641 0.942
0.250 0.039 0.785
0.750 0.461 0.285
0.750 0.961 0.215
0.750 0.505 0.567
0.250 0.539 0.715
0.250 0.995 0.067
0.750 0.359 0.058
0.250 0.495 0.433
0.250 0.141 0.558
0.750 0.859 0.442
0.250 0.141 0.350
0.250 0.641 0.150
0.750 0.005 0.933
0.750 0.859 0.650
0.750 0.359 0.850
0.250 0.765 0.547
0.750 0.735 0.047
0.750 0.235 0.453
0.250 0.265 0.953
```

Output
Offset from the most stable computed form ... 0.00 eV/f.u.
Uncorrected formation energy ... -633 meV per atom
D(E_F) ... 29.8 states/eV/cell
Uncorrected energy ... -28.276 eV per formula unit
Space-group type ... Pnma (62)

Entry 5:
The following is a DFT calculation (PBE) of GaCoNi2H after structural relaxation.

Geometry as POSCAR:
```
GaCoNi2H
1.0
3.599 0.000 0.000
0.000 3.599 0.000
0.000 0.000 3.683
Ga H Ni Co
1 1 2 1
Direct
0.500 0.500 0.500
0.000 0.000 0.000
0.500 0.000 0.000
0.000 0.500 0.000
0.000 0.000 0.500
```

Output
Offset from the most stable computed form ... 0.00 eV/f.u.
D(E_F) ... 3.8 states/eV/cell
Uncorrected energy ... -26.178 eV per formula unit
Space-group type ... P4/mmm (123)

Entry 6:
The following is a DFT calculation (PBE) of IrSe2Br after structural relaxation.

Geometry as POSCAR:
```
IrSe2Br
1.0
6.051 -0.001 0.001
-0.544 6.110 0.001
-2.982 -2.806 5.330
Br Se Ir
2 4 2
Direct
0.732 0.129 0.334
0.656 0.641 0.742
0.008 0.361 0.111
0.347 0.554 0.008
0.083 0.800 0.629
0.285 0.004 0.470
0.193 0.403 0.550
0.832 0.703 0.188
```

Output
Offset from the most stable computed form ... 0.36 eV/f.u.
Uncorrected formation energy ... -140 meV per atom
D(E_F) ... 0.1 states/eV/cell
Uncorrected energy ... -18.061 eV per formula unit
Space-group type ... P1 (1)

Entry 7:
The following is a DFT calculation (PBE) of PtW2 after structural relaxation.

Geometry as POSCAR:
```
PtW2
1.0
-1.362 1.362 13.224
1.362 -1.362 13.224
1.362 1.362 -13.224
Pt W
2 4
Direct
0.000 0.000 0.000
0.750 0.250 0.500
0.421 0.421 0.000
0.171 0.671 0.500
0.579 0.579 0.000
0.329 0.829 0.500
```

Output
Offset from the most stable computed form ... 0.86 eV/f.u.
D(E_F) ... 4.0 states/eV/cell
Uncorrected energy ... -31.318 eV per formula unit
Space-group type ... I4_1/amd (141)

Entry 8:
The following is a DFT calculation (PBE) of FeCuHg after structural relaxation.

Geometry as POSCAR:
```
FeCuHg
1.0
-2.975 2.650 -1.355
-4.015 -0.598 1.111
-1.852 2.643 2.701
Fe Hg Cu
1 1 1
Direct
0.000 0.000 0.000
0.500 0.500 0.500
0.750 0.750 0.750
```

Output
Offset from the most stable computed form ... 0.67 eV/f.u.
D(E_F) ... 0.7 states/eV/cell
Uncorrected energy ... -11.172 eV per formula unit
Space-group type ... F-43m (216)

Entry 9:
The following is a DFT calculation (PBE) of Ce5Cd after structural relaxation.

Geometry as POSCAR:
```
Ce5Cd
1.0
5.626 -0.564 0.000
-3.245 5.860 0.000
0.000 0.000 9.972
Ce Cd
10 2
Direct
0.248 0.498 0.088
0.247 0.001 0.078
0.752 0.502 0.588
0.752 0.502 0.912
0.248 0.498 0.412
0.753 0.999 0.578
0.251 0.499 0.750
0.247 0.001 0.422
0.753 0.999 0.922
0.749 0.501 0.250
0.256 0.001 0.750
0.744 0.999 0.250
```

Output
Offset from the most stable computed form ... 0.00 eV/f.u.
D(E_F) ... 33.8 states/eV/cell
Uncorrected energy ... -30.703 eV per formula unit
Space-group type ... P2_1/m (11)

Entry 10:
The following is a DFT calculation (PBE) of Tb5Er4Mg2 after structural relaxation.

Geometry as POSCAR:
```
Tb5Er4Mg2
1.0
-1.023 -3.059 1.354
11.310 -0.694 2.412
-12.005 5.898 4.358
Tb Er Mg
5 4 2
Direct
0.528 0.059 0.410
0.500 0.000 0.000
0.862 0.724 0.654
0.472 0.941 0.590
0.138 0.276 0.346
0.884 0.775 0.045
0.253 0.510 0.704
0.116 0.225 0.955
0.747 0.490 0.296
0.174 0.357 0.817
0.826 0.643 0.183
```

Output
Offset from the most stable computed form ... 0.00 eV/f.u.
D(E_F) ... 13.8 states/eV/cell
Uncorrected energy ... -44.121 eV per formula unit
Space-group type ... P-1 (2)

Entry 11:
The following is a DFT calculation (PBE) of Sc2ZnCo after structural relaxation.

Geometry as POSCAR:
```
Sc2ZnCo
1.0
8.764 0.005 0.003
8.191 3.117 0.003
8.191 1.508 2.728
Co Zn Sc
1 1 2
Direct
0.754 0.754 0.754
0.487 0.487 0.487
0.241 0.241 0.241
0.018 0.018 0.018
```

Output
D(E_F) ... 4.9 states/eV/cell
Uncorrected energy ... -20.729 eV per formula unit
Space-group type ... R3m (160)

Entry 12:
The following is a DFT calculation (PBE) of Fe2OsSe after structural relaxation.

Geometry as POSCAR:
```
Fe2OsSe
1.0
4.978 0.001 0.000
2.233 4.450 0.000
-3.090 -3.061 2.423
Se Fe Os
1 2 1
Direct
0.250 0.750 0.500
0.017 0.017 0.000
0.483 0.483 0.000
0.750 0.250 0.500
```

Output
Uncorrected formation energy ... 438 meV per atom
D(E_F) ... 3.9 states/eV/cell
Uncorrected energy ... -29.888 eV per formula unit
Space-group type ... Immm (71)

Entry 13:
The following is a DFT calculation (PBE) of Mg2AlAu after structural relaxation.

Geometry as POSCAR:
```
Mg2AlAu
1.0
3.111 0.000 0.000
0.000 3.913 0.000
0.000 0.000 6.092
Mg Al Au
2 1 1
Direct
0.000 0.000 0.508
0.000 0.000 0.992
0.500 0.500 0.250
0.500 0.500 0.750
```

Output
D(E_F) ... 1.4 states/eV/cell
Uncorrected energy ... -11.364 eV per formula unit
Space-group type ... Pmmm (47)

Entry 14:
The following is a DFT calculation (PBE) of TcNiTe2N after structural relaxation.

Geometry as POSCAR:
```
TcNiTe2N
1.0
-4.273 0.290 -2.941
-2.053 -4.011 2.587
-1.381 2.136 2.217
N Te Ni Tc
1 2 1 1
Direct
0.000 0.000 0.500
0.000 0.500 0.000
0.500 0.000 0.000
0.000 0.000 0.000
0.500 0.500 0.500
```

Output
Offset from the most stable computed form ... 0.95 eV/f.u.
Uncorrected formation energy ... 772 meV per atom
D(E_F) ... 4.2 states/eV/cell
Uncorrected energy ... -26.894 eV per formula unit
Space-group type ... P4/mmm (123)

Entry 15:
The following is a DFT calculation (PBE) of RbAs3Rh after structural relaxation.

Geometry as POSCAR:
```
RbAs3Rh
1.0
-4.855 -2.323 -0.196
0.255 -0.079 -5.379
2.317 -4.859 0.181
As Rh Rb
3 1 1
Direct
0.500 0.000 0.000
0.000 0.500 0.000
0.000 0.000 0.500
0.500 0.500 0.500
0.000 0.000 0.000
```

Output
Offset from the most stable computed form ... 10.23 eV/f.u.
D(E_F) ... 4.6 states/eV/cell
Uncorrected energy ... -11.030 eV per formula unit
Space-group type ... Pm-3m (221)

Entry 16:
The following is a DFT calculation (PBE) of MgZr2Ir after structural relaxation.

Geometry as POSCAR:
```
MgZr2Ir
1.0
4.743 0.000 0.000
2.372 4.108 0.000
2.372 1.369 3.873
Zr Ir Mg
2 1 1
Direct
0.250 0.250 0.250
0.000 0.000 0.000
0.500 0.500 0.500
0.750 0.750 0.750
```

Output
D(E_F) ... 4.4 states/eV/cell
Uncorrected energy ... -28.371 eV per formula unit
Space-group type ... F-43m (216)

Entry 17:
The following is a DFT calculation (PBE) of La2SbS after structural relaxation.

Geometry as POSCAR:
```
La2SbS
1.0
4.396 0.000 0.000
-2.198 3.807 0.000
0.000 0.000 21.507
La S Sb
6 3 3
Direct
0.000 0.000 0.225
0.000 0.000 0.775
0.667 0.333 0.592
0.333 0.667 0.927
0.667 0.333 0.073
0.333 0.667 0.408
0.000 0.000 0.000
0.667 0.333 0.851
0.333 0.667 0.149
0.333 0.667 0.685
0.667 0.333 0.315
0.000 0.000 0.500
```

Output
Offset from the most stable computed form ... 0.01 eV/f.u.
Uncorrected formation energy ... -1681 meV per atom
D(E_F) ... 5.8 states/eV/cell
Uncorrected energy ... -24.831 eV per formula unit
Space-group type ... P-3m1 (164)

Entry 18:
The following is a DFT calculation (PBE) of HfAsOs3 after structural relaxation.

Geometry as POSCAR:
```
HfAsOs3
1.0
-3.258 -2.855 -1.227
-1.024 -0.692 4.329
-2.934 3.412 -0.149
Hf Os As
1 3 1
Direct
0.500 0.500 0.500
0.000 0.500 0.000
0.500 0.000 0.000
0.000 0.000 0.500
0.000 0.000 0.000
```

Output
Offset from the most stable computed form ... 0.00 eV/f.u.
D(E_F) ... 2.8 states/eV/cell
Uncorrected energy ... -43.626 eV per formula unit
Space-group type ... Pm-3m (221)

Entry 19:
The following is a DFT calculation (PBE) of NaTaTc2 after structural relaxation.

Geometry as POSCAR:
```
NaTaTc2
1.0
-3.668 -1.927 1.783
-3.303 2.568 1.687
-3.960 0.276 -2.142
Na Tc Ta
1 2 1
Direct
0.000 0.000 0.000
0.750 0.750 0.750
0.250 0.250 0.250
0.500 0.500 0.500
```

Output
Offset from the most stable computed form ... 0.00 eV/f.u.
D(E_F) ... 5.0 states/eV/cell
Uncorrected energy ... -31.420 eV per formula unit
Space-group type ... Fm-3m (225)

Entry 20:
The following is a DFT calculation (PBE) of CeMg2Ag2 after structural relaxation.

Geometry as POSCAR:
```
CeMg2Ag2
1.0
-1.140 -0.512 4.863
5.124 -0.221 1.178
-1.609 8.705 0.539
Ag Mg Ce
4 4 2
Direct
0.250 0.233 0.001
0.750 0.081 0.419
0.250 0.919 0.581
0.750 0.767 0.999
0.250 0.675 0.827
0.750 0.635 0.533
0.750 0.325 0.173
0.250 0.365 0.467
0.250 0.810 0.216
0.750 0.190 0.784
```

Output
Offset from the most stable computed form ... 0.00 eV/f.u.
D(E_F) ... 18.5 states/eV/cell
Uncorrected energy ... -15.485 eV per formula unit
Space-group type ... P2_1/m (11)